1.
# meta-GGA SCAN Sr4FeMo, single point on PBEsol structure
data_Sr4FeMo
_chemical_formula_sum 'Sr4 Fe1 Mo1'
_cell_length_a 6.6118
_cell_length_b 6.6118
_cell_length_c 6.6118
_cell_angle_alpha 60.00
_cell_angle_beta 60.00
_cell_angle_gamma 60.00
_symmetry_space_group_name_H-M 'P 1'
_symmetry_Int_Tables_number 1
loop_
_symmetry_equiv_pos_as_xyz
'x,y,z'
loop_
_atom_site_label
_atom_site_type_symbol
_atom_site_fract_x
_atom_site_fract_y
_atom_site_fract_z
Mo1 Mo 0.0000 0.0000 0.0000
Sr1 Sr 0.3750 0.8750 0.3750
Sr2 Sr 0.3750 0.3750 0.3750
Sr3 Sr 0.3750 0.3750 0.8750
Sr4 Sr 0.8750 0.3750 0.3750
Fe1 Fe 0.7500 0.7500 0.7500
# DOS(E_F): 7.21 states/eV/f.u.
# Energy relative to the elements: 8.717 eV/f.u.
# Crystal system: cubic

2.
# meta-GGA SCAN In3CuPt, single point on PBEsol structure
data_In3CuPt
_chemical_formula_sum 'In3 Cu1 Pt1'
_cell_length_a 4.8015
_cell_length_b 4.8015
_cell_length_c 4.8015
_cell_angle_alpha 90.00
_cell_angle_beta 90.00
_cell_angle_gamma 90.00
_symmetry_space_group_name_H-M 'P 1'
_symmetry_Int_Tables_number 1
loop_
_symmetry_equiv_pos_as_xyz
'x,y,z'
loop_
_atom_site_label
_atom_site_type_symbol
_atom_site_fract_x
_atom_site_fract_y
_atom_site_fract_z
In1 In 0.5000 0.0000 0.0000
In2 In 0.0000 0.0000 0.5000
Cu1 Cu 0.0000 0.0000 0.0000
Pt1 Pt 0.5000 0.5000 0.5000
In3 In 0.0000 0.5000 0.0000
# DOS(E_F): 1.67 states/eV/f.u.
# Energy relative to the elements: 1.813 eV/f.u.
# Crystal system: cubic

3.
# meta-GGA SCAN TiGa2Ag, single point on PBEsol structure
data_TiGa2Ag
_chemical_formula_sum 'Ti1 Ga2 Ag1'
_cell_length_a 4.4665
_cell_length_b 4.4665
_cell_length_c 4.4665
_cell_angle_alpha 60.00
_cell_angle_beta 60.00
_cell_angle_gamma 60.00
_symmetry_space_group_name_H-M 'P 1'
_symmetry_Int_Tables_number 1
loop_
_symmetry_equiv_pos_as_xyz
'x,y,z'
loop_
_atom_site_label
_atom_site_type_symbol
_atom_site_fract_x
_atom_site_fract_y
_atom_site_fract_z
Ga1 Ga 0.7500 0.7500 0.7500
Ti1 Ti 0.0000 0.0000 0.0000
Ga2 Ga 0.2500 0.2500 0.2500
Ag1 Ag 0.5000 0.5000 0.5000
# DOS(E_F): 2.55 states/eV/f.u.
# Energy relative to the elements: -0.478 eV/f.u.
# Crystal system: cubic

4.
# meta-GGA SCAN Ga2SnCl2, single point on PBEsol structure
data_Ga2SnCl2
_chemical_formula_sum 'Ga2 Sn1 Cl2'
_cell_length_a 3.6819
_cell_length_b 3.6819
_cell_length_c 8.9146
_cell_angle_alpha 101.92
_cell_angle_beta 101.92
_cell_angle_gamma 90.00
_symmetry_space_group_name_H-M 'P 1'
_symmetry_Int_Tables_number 1
loop_
_symmetry_equiv_pos_as_xyz
'x,y,z'
loop_
_atom_site_label
_atom_site_type_symbol
_atom_site_fract_x
_atom_site_fract_y
_atom_site_fract_z
Ga1 Ga 0.2500 0.7500 0.5000
Cl1 Cl 0.5989 0.5989 0.1978
Cl2 Cl 0.4011 0.4011 0.8022
Ga2 Ga 0.7500 0.2500 0.5000
Sn1 Sn 0.0000 0.0000 0.0000
# DOS(E_F): 2.63 states/eV/f.u.
# VASP energy: -17.1516 eV/atom
# Crystal system: tetragonal

5.
# meta-GGA SCAN Al4ReW, single point on PBEsol structure
data_Al4ReW
_chemical_formula_sum 'Al4 Re1 W1'
_cell_length_a 4.9336
_cell_length_b 4.9336
_cell_length_c 4.9336
_cell_angle_alpha 60.00
_cell_angle_beta 60.00
_cell_angle_gamma 60.00
_symmetry_space_group_name_H-M 'P 1'
_symmetry_Int_Tables_number 1
loop_
_symmetry_equiv_pos_as_xyz
'x,y,z'
loop_
_atom_site_label
_atom_site_type_symbol
_atom_site_fract_x
_atom_site_fract_y
_atom_site_fract_z
Al1 Al 0.8744 0.3752 0.3752
Al2 Al 0.3752 0.8744 0.3752
Re1 Re 0.7500 0.7500 0.7500
Al3 Al 0.3752 0.3752 0.8744
W1 W 0.0000 0.0000 0.0000
Al4 Al 0.3752 0.3752 0.3752
# DOS(E_F): 3.43 states/eV/f.u.
# Energy relative to the elements: 1.015 eV/f.u.
# Crystal system: cubic

6.
# meta-GGA SCAN YSc2W, single point on PBEsol structure
data_YSc2W
_chemical_formula_sum 'Y1 Sc2 W1'
_cell_length_a 3.0393
_cell_length_b 3.0393
_cell_length_c 11.0224
_cell_angle_alpha 82.08
_cell_angle_beta 82.08
_cell_angle_gamma 60.00
_symmetry_space_group_name_H-M 'P 1'
_symmetry_Int_Tables_number 1
loop_
_symmetry_equiv_pos_as_xyz
'x,y,z'
loop_
_atom_site_label
_atom_site_type_symbol
_atom_site_fract_x
_atom_site_fract_y
_atom_site_fract_z
W1 W 0.0000 0.0000 0.0000
Sc1 Sc 0.0805 0.0805 0.7585
Sc2 Sc 0.9195 0.9195 0.2415
Y1 Y 0.5000 0.5000 0.5000
# DOS(E_F): 3.43 states/eV/f.u.
# Energy relative to the elements: 3.001 eV/f.u.
# Crystal system: trigonal
# Polymorph energy (0 for the lowest one): 0.420 eV/atom

7.
# meta-GGA SCAN TaP2RuS, single point on PBEsol structure
data_TaP2RuS
_chemical_formula_sum 'Ta1 P2 Ru1 S1'
_cell_length_a 4.5958
_cell_length_b 4.7348
_cell_length_c 4.7348
_cell_angle_alpha 90.00
_cell_angle_beta 90.00
_cell_angle_gamma 90.00
_symmetry_space_group_name_H-M 'P 1'
_symmetry_Int_Tables_number 1
loop_
_symmetry_equiv_pos_as_xyz
'x,y,z'
loop_
_atom_site_label
_atom_site_type_symbol
_atom_site_fract_x
_atom_site_fract_y
_atom_site_fract_z
Ru1 Ru 0.5000 0.5000 0.5000
P1 P 0.0000 0.0000 0.5000
Ta1 Ta 0.0000 0.0000 0.0000
S1 S 0.5000 0.0000 0.0000
P2 P 0.0000 0.5000 0.0000
# DOS(E_F): 2.26 states/eV/f.u.
# VASP energy: -25.5547 eV/atom
# Crystal system: tetragonal

8.
# meta-GGA SCAN ZrScRu4, single point on PBEsol structure
data_ZrScRu4
_chemical_formula_sum 'Zr1 Sc1 Ru4'
_cell_length_a 5.1297
_cell_length_b 5.1297
_cell_length_c 5.1297
_cell_angle_alpha 60.00
_cell_angle_beta 60.00
_cell_angle_gamma 60.00
_symmetry_space_group_name_H-M 'P 1'
_symmetry_Int_Tables_number 1
loop_
_symmetry_equiv_pos_as_xyz
'x,y,z'
loop_
_atom_site_label
_atom_site_type_symbol
_atom_site_fract_x
_atom_site_fract_y
_atom_site_fract_z
Ru1 Ru 0.6249 0.6249 0.1252
Ru2 Ru 0.1252 0.6249 0.6249
Ru3 Ru 0.6249 0.1252 0.6249
Ru4 Ru 0.6249 0.6249 0.6249
Sc1 Sc 0.2500 0.2500 0.2500
Zr1 Zr 0.0000 0.0000 0.0000
# DOS(E_F): 3.20 states/eV/f.u.
# Energy relative to the elements: -2.692 eV/f.u.
# Crystal system: cubic

9.
# meta-GGA SCAN LiCa2In2, single point on PBEsol structure
data_LiCa2In2
_chemical_formula_sum 'Li2 Ca4 In4'
_cell_length_a 4.1600
_cell_length_b 8.2794
_cell_length_c 8.2794
_cell_angle_alpha 90.00
_cell_angle_beta 90.00
_cell_angle_gamma 90.00
_symmetry_space_group_name_H-M 'P 1'
_symmetry_Int_Tables_number 1
loop_
_symmetry_equiv_pos_as_xyz
'x,y,z'
loop_
_atom_site_label
_atom_site_type_symbol
_atom_site_fract_x
_atom_site_fract_y
_atom_site_fract_z
In1 In 0.0000 0.3677 0.8677
In2 In 0.0000 0.8677 0.6323
In3 In 0.0000 0.1323 0.3677
Ca1 Ca 0.5000 0.3336 0.1664
In4 In 0.0000 0.6323 0.1323
Ca2 Ca 0.5000 0.6664 0.8336
Li1 Li 0.0000 0.0000 0.0000
Li2 Li 0.0000 0.5000 0.5000
Ca3 Ca 0.5000 0.8336 0.3336
Ca4 Ca 0.5000 0.1664 0.6664
# DOS(E_F): 2.48 states/eV/f.u.
# Energy relative to the elements: -2.157 eV/f.u.
# Crystal system: tetragonal

10.
# meta-GGA SCAN SrTlAu2, single point on PBEsol structure
data_SrTlAu2
_chemical_formula_sum 'Sr1 Tl1 Au2'
_cell_length_a 4.1388
_cell_length_b 4.4752
_cell_length_c 5.7865
_cell_angle_alpha 90.00
_cell_angle_beta 110.85
_cell_angle_gamma 90.00
_symmetry_space_group_name_H-M 'P 1'
_symmetry_Int_Tables_number 1
loop_
_symmetry_equiv_pos_as_xyz
'x,y,z'
loop_
_atom_site_label
_atom_site_type_symbol
_atom_site_fract_x
_atom_site_fract_y
_atom_site_fract_z
Sr1 Sr 0.5206 0.0000 0.4173
Au1 Au 0.7996 0.0000 0.9719
Tl1 Tl 0.2289 0.5000 0.8328
Au2 Au 0.9510 0.5000 0.2781
# DOS(E_F): 1.72 states/eV/f.u.
# Energy relative to the elements: -2.273 eV/f.u.
# Crystal system: monoclinic

11.
# meta-GGA SCAN MgSc2, single point on PBEsol structure
data_MgSc2
_chemical_formula_sum 'Mg1 Sc2'
_cell_length_a 3.1655
_cell_length_b 5.0391
_cell_length_c 5.0391
_cell_angle_alpha 90.00
_cell_angle_beta 90.00
_cell_angle_gamma 90.00
_symmetry_space_group_name_H-M 'P 1'
_symmetry_Int_Tables_number 1
loop_
_symmetry_equiv_pos_as_xyz
'x,y,z'
loop_
_atom_site_label
_atom_site_type_symbol
_atom_site_fract_x
_atom_site_fract_y
_atom_site_fract_z
Sc1 Sc 0.5000 0.5000 0.0000
Sc2 Sc 0.5000 0.0000 0.5000
Mg1 Mg 0.0000 0.0000 0.0000
# DOS(E_F): 3.33 states/eV/f.u.
# Energy relative to the elements: 1.424 eV/f.u.
# Crystal system: tetragonal

12.
# meta-GGA SCAN NaAg3O2, single point on PBEsol structure
data_NaAg3O2
_chemical_formula_sum 'Na2 Ag6 O4'
_cell_length_a 5.9146
_cell_length_b 6.7058
_cell_length_c 6.0674
_cell_angle_alpha 63.10
_cell_angle_beta 90.00
_cell_angle_gamma 116.17
_symmetry_space_group_name_H-M 'P 1'
_symmetry_Int_Tables_number 1
loop_
_symmetry_equiv_pos_as_xyz
'x,y,z'
loop_
_atom_site_label
_atom_site_type_symbol
_atom_site_fract_x
_atom_site_fract_y
_atom_site_fract_z
O1 O 0.3884 0.7768 0.8249
Ag1 Ag 0.5000 0.5000 0.0000
Na1 Na 0.2500 0.0000 0.5000
O2 O 0.6116 0.2232 0.1751
Na2 Na 0.7500 0.0000 0.5000
Ag2 Ag 0.0000 0.5000 0.5000
Ag3 Ag 0.5000 0.0000 0.0000
O3 O 0.1116 0.2232 0.6017
O4 O 0.8884 0.7768 0.3983
Ag4 Ag 0.0000 0.0000 0.0000
Ag5 Ag 0.0000 0.5000 0.0000
Ag6 Ag 0.5000 0.5000 0.5000
# VASP energy: -19.0421 eV/atom
# Crystal system: orthorhombic

Copy entry 12 word for word.
# meta-GGA SCAN NaAg3O2, single point on PBEsol structure
data_NaAg3O2
_chemical_formula_sum 'Na2 Ag6 O4'
_cell_length_a 5.9146
_cell_length_b 6.7058
_cell_length_c 6.0674
_cell_angle_alpha 63.10
_cell_angle_beta 90.00
_cell_angle_gamma 116.17
_symmetry_space_group_name_H-M 'P 1'
_symmetry_Int_Tables_number 1
loop_
_symmetry_equiv_pos_as_xyz
'x,y,z'
loop_
_atom_site_label
_atom_site_type_symbol
_atom_site_fract_x
_atom_site_fract_y
_atom_site_fract_z
O1 O 0.3884 0.7768 0.8249
Ag1 Ag 0.5000 0.5000 0.0000
Na1 Na 0.2500 0.0000 0.5000
O2 O 0.6116 0.2232 0.1751
Na2 Na 0.7500 0.0000 0.5000
Ag2 Ag 0.0000 0.5000 0.5000
Ag3 Ag 0.5000 0.0000 0.0000
O3 O 0.1116 0.2232 0.6017
O4 O 0.8884 0.7768 0.3983
Ag4 Ag 0.0000 0.0000 0.0000
Ag5 Ag 0.0000 0.5000 0.0000
Ag6 Ag 0.5000 0.5000 0.5000
# VASP energy: -19.0421 eV/atom
# Crystal system: orthorhombic

Which formula does entry 8 have?
ZrScRu4

Which formula does entry 2 have?
In3CuPt